# PmNdScTl PBE optimized geometry
# - energy relative to the elements (eV per atom) = -0.14
# - DOS(E_F) (states/eV/f.u.) = 5.0
# - space group = P4/nmm
data_PmNdScTl
_chemical_formula_sum 'Pm2 Nd2 Sc2 Tl2'
_space_group_name_H-M_alt 'P 1'
_space_group_IT_number 1
_cell_length_a 4.801
_cell_length_b 4.801
_cell_length_c 9.842
_cell_angle_alpha 90.00
_cell_angle_beta 90.00
_cell_angle_gamma 90.00
loop_
_space_group_symop_operation_xyz
'x,y,z'
loop_
_atom_site_label
_atom_site_fract_x
_atom_site_fract_y
_atom_site_fract_z
Pm1 0.250 0.750 0.000
Pm2 0.750 0.250 0.000
Nd1 0.250 0.250 0.257
Nd2 0.750 0.750 0.743
Sc1 0.250 0.750 0.500
Sc2 0.750 0.250 0.500
Tl1 0.250 0.250 0.722
Tl2 0.750 0.750 0.278